Record 1
DFT (PBE-GGA) results for a relaxed structure of Cu2HPdPt.

SG: No. 123
Energy above the most stable polymorph in this dataset in meV/atom: 13
N(E_F) in states/eV/f.u.: 2.2
Crystal system: tetragonal
DFT total energy in eV per atom: -4.6073
M_tot in μB per formula unit: 0.0

a b c (Å): 4.0139 4.0139 3.5985
angles (deg): 90.00 90.00 90.00
Closest atoms and distances in Å follow each position.
Element x y z (fractional)
Cu (0.5000, 0.0000, 0.0000)  2 H 2.01
Cu (0.0000, 0.5000, 0.0000)  2 H 2.01
H (0.0000, 0.0000, 0.0000)  2 Pd 1.80, 4 Cu 2.01
Pt (0.5000, 0.5000, 0.5000)  8 Cu 2.70, 4 Pd 2.84
Pd (0.0000, 0.0000, 0.5000)  2 H 1.80

---

Record 2
DFT (PBE-GGA) results for a relaxed structure of Cu2HPdPt.

SG: No. 123
Energy above the most stable polymorph in this dataset in meV/atom: 0
N(E_F) in states/eV/f.u.: 2.3
Crystal system: tetragonal
DFT total energy in eV per atom: -4.6204
M_tot in μB per formula unit: 0.0

a b c (Å): 4.0148 4.0148 3.6207
angles (deg): 90.00 90.00 90.00
Closest atoms and distances in Å follow each position.
Element x y z (fractional)
Pt (0.0000, 0.0000, 0.5000)  2 H 1.81
Pd (0.5000, 0.5000, 0.5000)  8 Cu 2.70, 4 Pt 2.84
Cu (0.0000, 0.5000, 0.0000)  2 H 2.01
Cu (0.5000, 0.0000, 0.0000)  2 H 2.01
H (0.0000, 0.0000, 0.0000)  2 Pt 1.81, 4 Cu 2.01